The following is a PBE+U calculation of crystalline DyV2F8 at its relaxed geometry, from Alexandria via LeMat-Bulk.

a = 5.543 Å, b = 5.543 Å, c = 5.320 Å
α = 100.54°, β = 100.54°, γ = 72.63°
Atoms (fractional coordinates):
Dy: 0.000 0.000 0.000
V: 0.315 0.315 0.533
V: 0.685 0.685 0.467
F: 0.044 0.649 0.709
F: 0.161 0.161 0.760
F: 0.351 0.956 0.291
F: 0.445 0.445 0.268
F: 0.555 0.555 0.732
F: 0.649 0.044 0.709
F: 0.839 0.839 0.240
F: 0.956 0.351 0.291

Energy above the lowest structure with this stoichiometry ... 41 meV/atom